Entry one
BaZr2, single point on PBEsol structure, DFT meta-GGA SCAN; DOS at the Fermi energy = 3.7 states/eV/cell; total moment = 0.000 μB per cell; volume = 27.52 Å³/atom; space group = P6/mmm, No. 191
1.0
5.4546 0.0000 0.0000
-2.7273 4.7238 0.0000
0.0000 0.0000 3.2039
Ba Zr
1 2
Direct
0.0000 0.0000 0.0000
0.3333 0.6667 0.5000
0.6667 0.3333 0.5000

***

Entry two
BaZr2, single point on PBEsol structure, DFT meta-GGA SCAN; DOS at the Fermi energy = 5.3 states/eV/cell; total moment = 0.001 μB per cell; volume = 26.06 Å³/atom; space group = I4/mcm, No. 140
1.0
-3.4673 3.4673 3.2521
3.4673 -3.4673 3.2521
3.4673 3.4673 -3.2521
Ba Zr
2 4
Direct
0.2500 0.2500 0.0000
0.7500 0.7500 0.0000
0.1432 0.6432 0.7865
0.3568 0.1432 0.5000
0.6432 0.8568 0.5000
0.8568 0.3568 0.2135

***

entry one comes first in stability; the runner-up is 374 meV per atom higher.